*A*
A relaxed KTlBiPb crystal. Source: Alexandria, functional PBE-GGA.

Output
**Symmetry**: No. 216

Cell: 5.7601 5.7601 5.7601 Å, 60.00 60.00 60.00°
Closest atoms and distances in Å follow each position.
Fractional coordinates of all 4 atoms:
K 0.0000 0.0000 0.0000  4 Tl 3.53, 4 Bi 3.53
Tl 0.7500 0.7500 0.7500  4 Pb 3.53, 4 K 3.53
Bi 0.2500 0.2500 0.2500  4 Pb 3.53, 4 K 3.53
Pb 0.5000 0.5000 0.5000  4 Tl 3.53, 4 Bi 3.53

***

*B*
A relaxed KTlBiPb crystal. Source: Alexandria, functional PBE-GGA.

Output
**Symmetry**: No. 160

Cell: 6.9958 6.9958 6.9958 Å, 45.73 45.73 45.73°
Closest atoms and distances in Å follow each position.
Fractional coordinates of all 4 atoms:
K 0.0000 0.0000 0.0000  4 Pb 3.66-4.07, 3 Tl 3.82, 4 Bi 3.86-3.95
Tl 0.4495 0.4495 0.4495  3 Pb 3.17
Bi 0.2058 0.2058 0.2058  3 Pb 3.39, 3 Tl 3.56
Pb 0.8049 0.8049 0.8049  3 Tl 3.17, 3 Bi 3.39

***

The structure with the least stability is *B*.

***

*A*
A relaxed K3Bi4Pd4 crystal. Source: Alexandria, functional PBE-GGA.

Output
**Symmetry**: No. 217

Cell: 7.4439 7.4439 7.4439 Å, 109.47 109.47 109.47°
Closest atoms and distances in Å follow each position.
Fractional coordinates of all 11 atoms:
K 0.0000 0.5000 0.5000  4 Bi 3.52, 4 Pd 3.55
K 0.5000 0.0000 0.5000  4 Bi 3.52, 4 Pd 3.55
K 0.5000 0.5000 0.0000  4 Bi 3.52, 4 Pd 3.55
Bi 0.0000 0.0000 0.3740  4 Pd 2.72-2.81
Bi 0.0000 0.3740 0.0000  4 Pd 2.72-2.81
Bi 0.3740 0.0000 0.0000  4 Pd 2.72-2.81
Bi 0.6260 0.6260 0.6260  4 Pd 2.72-2.81
Pd 0.0000 0.0000 0.7393  4 Bi 2.72-2.81
Pd 0.0000 0.7393 0.0000  4 Bi 2.72-2.81
Pd 0.2607 0.2607 0.2607  4 Bi 2.72-2.81
Pd 0.7393 0.0000 0.0000  4 Bi 2.72-2.81

***

*B*
A relaxed K3Bi4Pd4 crystal. Source: Alexandria, functional PBE-GGA.

Output
**Symmetry**: No. 71

Cell: 13.7595 13.7595 13.7595 Å, 160.02 158.23 29.72°
Closest atoms and distances in Å follow each position.
Fractional coordinates of all 11 atoms:
K 0.0000 0.0000 0.0000  4 Bi 3.66, 8 Pd 3.77
K 0.1397 0.6397 0.5000  6 Pd 3.53-3.87, 6 Bi 3.71
K 0.8603 0.3603 0.5000  6 Pd 3.53-3.87, 6 Bi 3.71
Bi 0.2467 0.2467 0.0000  4 Pd 2.79-2.89
Bi 0.4031 0.9031 0.5000  3 Pd 2.69-2.72
Bi 0.5969 0.0969 0.5000  3 Pd 2.69-2.72
Bi 0.7533 0.7533 0.0000  4 Pd 2.79-2.89
Pd 0.3008 0.8008 0.5000  5 Bi 2.72-2.89
Pd 0.4501 0.4501 0.0000  1 Pd 2.65, 2 Bi 2.69
Pd 0.5499 0.5499 0.0000  1 Pd 2.65, 2 Bi 2.69
Pd 0.6992 0.1992 0.5000  5 Bi 2.72-2.89

***

The structure with the least stability is *B*.

***

*A*
A relaxed K2BiPd crystal. Source: Alexandria, functional PBE-GGA.

Output
**Symmetry**: No. 63

Cell: 6.7520 6.7520 6.3106 Å, 90.00 90.00 71.24°
Closest atoms and distances in Å follow each position.
Fractional coordinates of all 8 atoms:
K 0.0111 0.6457 0.7500  2 Pd 3.50, 4 Bi 3.68-3.69, 3 K 3.75-3.77
K 0.3543 0.9889 0.7500  2 Pd 3.50, 4 Bi 3.68-3.69, 3 K 3.75-3.77
K 0.6457 0.0111 0.2500  2 Pd 3.50, 4 Bi 3.68-3.69, 3 K 3.75-3.77
K 0.9889 0.3543 0.2500  2 Pd 3.50, 4 Bi 3.68-3.69, 3 K 3.75-3.77
Bi 0.2207 0.7793 0.2500  2 Pd 2.70
Bi 0.7793 0.2207 0.7500  2 Pd 2.70
Pd 0.5000 0.5000 0.0000  2 Bi 2.70
Pd 0.5000 0.5000 0.5000  2 Bi 2.70

***

*B*
A relaxed K2BiPd crystal. Source: Alexandria, functional PBE-GGA.

Output
**Symmetry**: No. 160

Cell: 7.1572 7.1572 7.1572 Å, 40.28 40.28 40.28°
Closest atoms and distances in Å follow each position.
Fractional coordinates of all 4 atoms:
K 0.0000 0.0000 0.0000  3 Pd 3.49, 3 Bi 3.51, 3 K 3.76
K 0.2083 0.2083 0.2083  3 Bi 3.50, 3 Pd 3.53, 3 K 3.76
Bi 0.7711 0.7711 0.7711  3 Pd 2.85
Pd 0.4359 0.4359 0.4359  3 Bi 2.85

***

*C*
A relaxed K2BiPd crystal. Source: Alexandria, functional PBE-GGA.

Output
**Symmetry**: No. 122

Cell: 9.1509 9.1509 9.1509 Å, 94.58 94.58 147.16°
Closest atoms and distances in Å follow each position.
Fractional coordinates of all 8 atoms:
K 0.3750 0.0660 0.1910  2 Pd 3.25
K 0.8160 0.6250 0.6910  2 Pd 3.25
K 0.8750 0.1840 0.8090  2 Pd 3.25
K 0.9340 0.1250 0.3090  2 Pd 3.25
Bi 0.2500 0.7500 0.5000  2 Pd 2.59
Bi 0.5000 0.5000 0.0000  2 Pd 2.59
Pd 0.0000 0.0000 0.0000  2 Bi 2.59
Pd 0.7500 0.2500 0.5000  2 Bi 2.59

***

The structure with the least stability is *C*.